Computed, not measured: an optimized crystal structure of Ba5Cd2Au2 at the GGA-PBE level of DFT.

* final energy: -2.427 eV per atom
* symmetry: No. 64

abc: 8.8072 9.0048 10.1240
angles: 90.00 64.22 90.00
Closest atoms and distances in Å follow each position.
Fractional positions:
Ba 0.0000 0.0000 0.0000  4 Au 3.52-3.58, 2 Cd 3.83
Ba 0.5000 0.5000 0.0000  4 Au 3.52-3.58, 2 Cd 3.83
Ba 0.4587 0.1734 0.7396  3 Au 3.53-3.58, 3 Cd 3.60-3.63
Ba 0.8016 0.8266 0.7396  3 Au 3.53-3.58, 3 Cd 3.60-3.63
Ba 0.3016 0.6734 0.7396  3 Au 3.53-3.58, 3 Cd 3.60-3.63
Ba 0.9587 0.3266 0.7396  3 Au 3.53-3.58, 3 Cd 3.60-3.63
Ba 0.5413 0.8266 0.2604  3 Au 3.53-3.58, 3 Cd 3.60-3.63
Ba 0.1984 0.1734 0.2604  3 Au 3.53-3.58, 3 Cd 3.60-3.63
Ba 0.6984 0.3266 0.2604  3 Au 3.53-3.58, 3 Cd 3.60-3.63
Ba 0.0413 0.6734 0.2604  3 Au 3.53-3.58, 3 Cd 3.60-3.63
Cd 0.2101 0.0000 0.5799  7 Ba 3.60-3.83
Cd 0.7101 0.5000 0.5799  7 Ba 3.60-3.83
Cd 0.7899 0.0000 0.4201  7 Ba 3.60-3.83
Cd 0.2899 0.5000 0.4201  7 Ba 3.60-3.83
Au 0.1201 0.3793 0.0000  1 Au 3.03
Au 0.8799 0.6207 0.0000  1 Au 3.03
Au 0.3799 0.8793 0.0000  1 Au 3.03
Au 0.6201 0.1207 0.0000  1 Au 3.03



Computed, not measured: an optimized crystal structure of Ba3Cd7Au4 at the GGA-PBE level of DFT.

* final energy: -2.255 eV per atom
* symmetry: No. 12

abc: 4.7852 9.2303 9.6660
angles: 68.38 75.67 74.98
Closest atoms and distances in Å follow each position.
Fractional positions:
Ba 0.3024 0.1919 0.2033  4 Au 3.41-3.44, 10 Cd 3.51-3.79
Ba 0.6976 0.8081 0.7967  4 Au 3.41-3.44, 10 Cd 3.51-3.79
Ba 0.0000 0.5000 0.5000  6 Au 3.45-3.62, 6 Cd 3.75-3.83
Cd 0.3268 0.8290 0.5174  4 Au 2.89-3.10, 1 Cd 3.11
Cd 0.4959 0.2053 0.8029  3 Au 2.90-3.04, 5 Cd 3.11-3.23
Cd 0.8502 0.3769 0.9228  3 Au 2.90-3.15, 3 Cd 3.20-3.23
Cd 0.6732 0.1710 0.4826  4 Au 2.89-3.10, 1 Cd 3.11
Cd 0.1498 0.6231 0.0772  3 Au 2.90-3.15, 3 Cd 3.20-3.23
Cd 0.0000 0.0000 0.0000  2 Au 2.96, 6 Cd 3.20-3.21
Cd 0.5041 0.7947 0.1971  3 Au 2.90-3.04, 5 Cd 3.11-3.23
Au 0.6573 0.4608 0.2246  5 Cd 2.90-3.15
Au 0.3427 0.5392 0.7754  5 Cd 2.90-3.15
Au 0.8794 0.9071 0.3341  6 Cd 2.89-3.10
Au 0.1206 0.0929 0.6659  6 Cd 2.89-3.10



Computed, not measured: an optimized crystal structure of Ba2Cd5Au3 at the GGA-PBE level of DFT.

* symmetry: No. 72
* E above lowest polymorph: 0.0000 eV/atom

abc: 6.7091 9.7223 9.7223
angles: 74.65 69.82 69.82
Closest atoms and distances in Å follow each position.
Fractional positions:
Ba 0.1220 0.6508 0.1052  6 Au 3.54-3.80, 9 Cd 3.64-3.96
Ba 0.6220 0.1052 0.6508  6 Au 3.54-3.80, 9 Cd 3.64-3.96
Ba 0.8780 0.3492 0.8948  6 Au 3.54-3.80, 9 Cd 3.64-3.96
Ba 0.3780 0.8948 0.3492  6 Au 3.54-3.80, 9 Cd 3.64-3.96
Cd 0.3625 0.2454 0.0296  3 Au 2.80-2.85, 2 Cd 2.94
Cd 0.8625 0.0296 0.2454  3 Au 2.80-2.85, 2 Cd 2.94
Cd 0.6375 0.7546 0.9704  3 Au 2.80-2.85, 2 Cd 2.94
Cd 0.1375 0.9704 0.7546  3 Au 2.80-2.85, 2 Cd 2.94
Cd 0.5345 0.7155 0.7155  2 Au 2.88, 3 Cd 2.94-3.00
Cd 0.4655 0.2845 0.2845  2 Au 2.88, 3 Cd 2.94-3.00
Cd 0.7500 0.5000 0.5000  4 Au 2.94, 2 Cd 3.00
Cd 0.2500 0.5000 0.5000  4 Au 2.94, 2 Cd 3.00
Cd 0.9655 0.2845 0.2845  2 Au 2.88, 3 Cd 2.94-3.00
Cd 0.0345 0.7155 0.7155  2 Au 2.88, 3 Cd 2.94-3.00
Au 0.3880 0.4554 0.7687  5 Cd 2.80-2.94
Au 0.8880 0.7687 0.4554  5 Cd 2.80-2.94
Au 0.6120 0.5446 0.2313  5 Cd 2.80-2.94
Au 0.1120 0.2313 0.5446  5 Cd 2.80-2.94
Au 0.2500 0.0000 0.0000  4 Cd 2.85
Au 0.7500 0.0000 0.0000  4 Cd 2.85



Computed, not measured: an optimized crystal structure of Ba2Cd2Au at the GGA-PBE level of DFT.

* symmetry: No. 127
* E above lowest polymorph: 0.2471 eV/atom

abc: 9.0015 9.0015 5.0103
angles: 90.00 90.00 90.00
Closest atoms and distances in Å follow each position.
Fractional positions:
Au 0.0000 0.0000 0.0000  4 Ba 3.31
Au 0.5000 0.5000 0.0000  4 Ba 3.31
Ba 0.3208 0.8208 0.0000  2 Au 3.31, 2 Cd 3.59
Ba 0.8208 0.6792 0.0000  2 Au 3.31, 2 Cd 3.59
Ba 0.6792 0.1792 0.0000  2 Au 3.31, 2 Cd 3.59
Ba 0.1792 0.3208 0.0000  2 Au 3.31, 2 Cd 3.59
Cd 0.1189 0.6189 0.5000  1 Cd 3.03
Cd 0.6189 0.8811 0.5000  1 Cd 3.03
Cd 0.8811 0.3811 0.5000  1 Cd 3.03
Cd 0.3811 0.1189 0.5000  1 Cd 3.03



N(E_F)? In order: 0.953, 0.544, 0.580, 0.890 states/eV/atom.